Record 1
{
  "formula": "NaInMo6Se6",
  "functional": "SCAN",
  "state": "PBEsol geometry",
  "e_tot_ev_per_atom": -26.832,
  "lattice": [[4.472, 0.000, 0.000], [0.000, 8.664, 0.000], [0.000, -4.332, 7.503]],
  "species": ["Na", "In", "Mo", "Mo", "Mo", "Mo", "Mo", "Mo", "Se", "Se", "Se", "Se", "Se", "Se"],
  "fractional_positions": [[0.000, 0.000, 0.000], [0.500, 0.333, 0.667], [0.000, 0.474, 0.180], [0.000, 0.820, 0.294], [0.000, 0.706, 0.526], [0.500, 0.859, 0.486], [0.500, 0.514, 0.373], [0.500, 0.627, 0.141], [0.000, 0.366, 0.410], [0.000, 0.590, 0.955], [0.000, 0.045, 0.634], [0.500, 0.967, 0.254], [0.500, 0.746, 0.713], [0.500, 0.287, 0.033]]
}

=====

Record 2
{
  "formula": "NaInSn2Mo",
  "functional": "SCAN",
  "state": "PBEsol geometry",
  "ef_mev_per_atom": 1279,
  "lattice": [[5.124, 0.000, 0.000], [0.000, 5.178, 0.000], [0.000, 0.000, 5.178]],
  "species": ["Na", "Mo", "Sn", "Sn", "In"],
  "fractional_positions": [[0.000, 0.000, 0.000], [0.500, 0.500, 0.500], [0.000, 0.000, 0.500], [0.000, 0.500, 0.000], [0.500, 0.000, 0.000]]
}

=====

Record 3
{
  "formula": "TaNbInMo2",
  "functional": "SCAN",
  "state": "PBEsol geometry",
  "ef_mev_per_atom": 1649,
  "lattice": [[4.717, 0.000, 0.000], [0.000, 4.717, 0.000], [0.000, 0.000, 4.845]],
  "species": ["Mo", "Mo", "In", "Nb", "Ta"],
  "fractional_positions": [[0.000, 0.500, 0.000], [0.500, 0.000, 0.000], [0.500, 0.500, 0.500], [0.000, 0.000, 0.000], [0.000, 0.000, 0.500]]
}